1.
This record from Alexandria describes crystalline KSrMo2 at its relaxed geometry. The functional is PBE.

Values from the calculation:
* size of the total moment: 7.924 μB per formula unit
* formation energy from the elements: 1.987 eV/atom
* final energy: -4.123 eV/atom
* energy above the lowest structure with this stoichiometry: 1.278 eV per atom
* DOS(E_F): 4.081 states/eV per cell

a b c (Å): 5.7094 5.7094 3.7754
angles (deg): 90.00 90.00 90.00
Space group P4/mmm (No. 123)
One atom of each set of equivalent atoms:
K1 0.0000 0.0000 0.0000
Sr1 0.5000 0.5000 0.0000
Mo1 0.0000 0.5000 0.5000

2.
This record from Alexandria describes crystalline KSrMo2 at its relaxed geometry. The functional is PBE.

Values from the calculation:
* size of the total moment: 7.766 μB per formula unit
* formation energy from the elements: 1.932 eV/atom
* final energy: -4.178 eV/atom
* energy above the lowest structure with this stoichiometry: 1.223 eV per atom
* DOS(E_F): 3.554 states/eV per cell

a b c (Å): 3.9104 3.9104 8.3320
angles (deg): 90.00 90.00 90.00
Space group P4/mmm (No. 123)
One atom of each set of equivalent atoms:
K1 0.0000 0.0000 0.0000
Sr1 0.0000 0.0000 0.5000
Mo1 0.5000 0.5000 0.2896